Record 1
A plane-wave DFT calculation with PBE was carried out for a geometry-optimized TlSiTc structure.

```
3
Lattice="-2.112 3.121 2.228 0.853 0.614 4.249 2.142 3.587 1.306" Properties=species:S:1:pos:R:3 pbc="T T T"
Si 0.442 3.661 3.892
Tc 0.663 5.491 5.838
Tl 0.000 0.000 0.000
```

The density of states at the Fermi level comes out at 1.24 states/eV per cell. The symmetry is F-43m. For the total energy, the calculation gives -16.30 eV/cell. The calculation puts the total moment at 0.000 μB per formula unit. The value obtained for the polymorph energy (0 for the lowest one) is 672 meV/atom.

Record 2
A plane-wave DFT calculation with PBE was carried out for a geometry-optimized Tl3SiTc structure.

```
5
Lattice="5.277 0.000 0.000 0.000 5.277 0.000 0.000 0.000 5.277" Properties=species:S:1:pos:R:3 pbc="T T T"
Tl 0.000 2.638 0.000
Tl 0.000 0.000 2.638
Tl 2.638 0.000 0.000
Si 0.000 0.000 0.000
Tc 2.638 2.638 2.638
```

The density of states at the Fermi level comes out at 4.20 states/eV per cell. The symmetry is Pm-3m. For the total energy, the calculation gives -16.68 eV/cell. The calculation puts the total moment at 3.598 μB per formula unit. The value obtained for the polymorph energy (0 for the lowest one) is 276 meV/atom.

Q: What is the polymorph energy (0 for the lowest one) in the first record?
A: 672 meV/atom

Q: Among the records above, which one has the lowest total moment?
A: TlSiTc